1.
TmBeNF6 | PBE-GGA | relaxed Values from VASP.

```
&SYSTEM
  ibrav = 0, nat = 18, ntyp = 4
/
ATOMIC_SPECIES
Be 9.01 Be.upf
F 19.00 F.upf
N 14.01 N.upf
Tm 168.93 Tm.upf
CELL_PARAMETERS angstrom
5.7363 0.0000 0.0000
0.0000 6.6907 0.2231
0.0000 3.1639 6.9414
ATOMIC_POSITIONS angstrom
Be 4.3022 3.2183 3.9284
Be 1.4341 6.6363 3.2361
F 4.3022 4.4728 4.8446
F 5.4839 4.4530 0.3487
F 1.4341 1.2239 2.1330
F 1.4341 5.3818 2.3199
F 0.2524 5.4016 6.8158
F 5.5612 3.2352 2.9960
F 0.1752 6.6194 4.1685
F 3.1206 4.4530 0.3487
F 4.3022 8.6307 5.0315
F 2.6157 5.4016 6.8158
F 2.6930 6.6194 4.1685
F 3.0433 3.2352 2.9960
N 4.3022 5.7189 0.9791
N 1.4341 4.1357 6.1854
Tm 1.4341 3.3341 1.6109
Tm 4.3022 6.5205 5.5536
```

The calculation puts the uncorrected formation energy at -2.4408 eV per atom. The calculation puts the total DFT energy (no corrections) at -5.52 eV per atom. The value obtained for the calculated volume is 14.6 Å³ per atom.

=====

2.
ZrNiPt3 | PBE-GGA | relaxed Values from VASP.

```
&SYSTEM
  ibrav = 0, nat = 10, ntyp = 3
/
ATOMIC_SPECIES
Zr 91.22 Zr.upf
Pt 195.08 Pt.upf
Ni 58.69 Ni.upf
CELL_PARAMETERS angstrom
4.7564 0.0000 0.0000
0.0000 6.4186 -0.0010
0.0000 -3.2084 5.5592
ATOMIC_POSITIONS angstrom
Zr 3.5673 3.2076 1.8536
Zr 1.1891 0.0026 3.7046
Pt 3.5673 1.3314 4.4729
Pt 1.1891 3.2090 3.3885
Pt 1.1891 1.8788 1.0853
Pt 3.5673 -1.3288 4.4736
Pt 3.5673 0.0012 2.1698
Pt 1.1891 4.5390 1.0846
Ni 2.3782 0.0000 0.0000
Ni 0.0000 0.0000 0.0000
```

The formation enthalpy at 0 K is -2.15 eV/f.u. The calculation puts the total DFT energy (no corrections) at -6.92 eV per atom. The value obtained for the calculated volume is 17.0 Å³ per atom.

=====

3.
PuCdBi2O8 | PBE-GGA | relaxed Values from VASP.

```
&SYSTEM
  ibrav = 0, nat = 12, ntyp = 4
/
ATOMIC_SPECIES
Bi 208.98 Bi.upf
O 16.00 O.upf
Cd 112.41 Cd.upf
Pu 244.00 Pu.upf
CELL_PARAMETERS angstrom
5.1221 -0.0674 -0.0031
-0.0407 5.1200 -0.0056
0.0041 0.0077 7.1026
ATOMIC_POSITIONS angstrom
Bi 2.5417 2.5282 1.8091
Bi 2.5438 2.5321 5.2848
O 1.5565 1.5456 3.5488
O 3.5291 3.5148 3.5452
O 4.1709 0.9037 5.6083
O 1.4749 1.4628 7.1000
O 0.9167 4.1610 5.6069
O 3.6106 3.5975 -0.0060
O 4.1689 0.8993 1.4870
O 0.9146 4.1567 1.4856
Cd 0.0021 0.0039 3.5513
Pu 0.0000 0.0000 0.0000
```

The calculation puts the uncorrected formation energy at -1.5245 eV per atom. The calculation puts the total DFT energy (no corrections) at -6.75 eV per atom. The value obtained for the calculated volume is 15.5 Å³ per atom.

=====

4.
Ba2TbPd | PBE-GGA | relaxed Values from VASP.

```
&SYSTEM
  ibrav = 0, nat = 4, ntyp = 3
/
ATOMIC_SPECIES
Pd 106.42 Pd.upf
Ba 137.33 Ba.upf
Tb 158.93 Tb.upf
CELL_PARAMETERS angstrom
-0.7777 0.9422 3.8798
-1.5779 -2.7980 2.4955
9.8502 -3.9857 5.0746
ATOMIC_POSITIONS angstrom
Pd 3.7473 -2.9207 5.7250
Ba 1.0842 -2.9448 7.3293
Ba 6.4104 -2.8966 4.1207
Tb 0.0000 0.0000 0.0000
```

The formation enthalpy at 0 K is 0.47 eV/f.u. The calculation puts the total DFT energy (no corrections) at -3.30 eV per atom. The value obtained for the calculated volume is 41.3 Å³ per atom.

=====

5.
Y2CrP | PBE-GGA | relaxed Values from VASP.

```
&SYSTEM
  ibrav = 0, nat = 16, ntyp = 3
/
ATOMIC_SPECIES
Y 88.91 Y.upf
P 30.97 P.upf
Cr 52.00 Cr.upf
CELL_PARAMETERS angstrom
-7.1984 1.7562 -0.3887
-0.4483 -2.5109 -3.0426
-0.2026 -9.1632 7.5917
ATOMIC_POSITIONS angstrom
Y -3.4977 0.0129 0.5046
Y -7.3385 -4.2389 1.9889
Y -4.2102 -3.2834 0.7395
Y -7.0130 1.5981 -0.2856
Y -3.8231 -5.8241 2.7792
Y -1.7369 -8.4682 4.6538
Y -1.4115 -2.6311 2.3792
Y -4.0873 -6.6096 6.0566
P -5.4127 -9.1323 5.7434
P -1.7645 -2.2284 -0.4915
P -1.6417 -5.5546 4.8257
P -5.0873 -3.2953 3.4689
Cr -6.3845 -4.8771 4.9654
Cr -6.5073 -1.5510 -0.3518
Cr -6.1910 -7.1525 4.2242
Cr -5.8655 -1.3155 1.9497
```

The formation enthalpy at 0 K is -2.36 eV/f.u. The calculation puts the total DFT energy (no corrections) at -7.58 eV per atom. The value obtained for the calculated volume is 21.5 Å³ per atom.

=====

6.
Ce4SiCl4 | PBE-GGA | relaxed Values from VASP.

```
&SYSTEM
  ibrav = 0, nat = 9, ntyp = 3
/
ATOMIC_SPECIES
Si 28.09 Si.upf
Ce 140.12 Ce.upf
Cl 35.45 Cl.upf
CELL_PARAMETERS angstrom
-0.3747 -6.9895 -0.1936
1.2603 0.1232 -6.8868
4.9678 3.1158 4.5246
ATOMIC_POSITIONS angstrom
Si 0.0000 0.0000 0.0000
Ce 3.4600 1.7565 2.7118
Ce 1.6686 -5.5778 -1.3071
Ce 2.6088 -1.4875 -5.1561
Ce 3.9693 -2.1922 -1.3600
Cl -0.1874 -3.4948 -0.0968
Cl 2.1563 -3.5337 -3.2284
Cl 3.6971 -0.2168 0.6727
Cl 0.6301 0.0616 -3.4434
```

The calculation puts the uncorrected formation energy at -1.0508 eV per atom. The calculation puts the total DFT energy (no corrections) at -5.11 eV per atom. The value obtained for the calculated volume is 30.0 Å³ per atom.

=====

7.
Ac4Pr3Y4 | PBE-GGA | relaxed Values from VASP.

```
&SYSTEM
  ibrav = 0, nat = 11, ntyp = 3
/
ATOMIC_SPECIES
Ac 227.00 Ac.upf
Y 88.91 Y.upf
Pr 140.91 Pr.upf
CELL_PARAMETERS angstrom
-1.2857 0.5048 3.4598
-5.3725 -1.4963 -1.7782
6.4159 -17.4938 4.9493
ATOMIC_POSITIONS angstrom
Ac -0.2638 -2.9178 3.2492
Ac 0.0618 -15.4893 3.2017
Ac -1.9686 -8.4593 3.4218
Ac 1.7768 -10.0121 3.0370
Y -2.6584 -2.1963 0.2494
Y 1.0492 -6.4387 2.2406
Y 2.5030 -16.4664 6.2681
Y -1.2379 -12.0376 4.2189
Pr 1.7952 -12.9734 5.4821
Pr -0.2890 0.0861 0.8000
Pr -1.9803 -5.5220 0.9849
```

The formation enthalpy at 0 K is 0.57 eV/f.u. The calculation puts the total DFT energy (no corrections) at -5.10 eV per atom. The value obtained for the calculated volume is 37.8 Å³ per atom.